No. 1
First-principles (GGA-PBE) data for PrTmCu2S4 after structural relaxation, as listed in Alexandria via LeMat-Bulk.

It has space group I222 (No. 23), with a = 6.481 Å, b = 6.745 Å, c = 7.668 Å, α = 90.00°, β = 90.00° and γ = 90.00°. The asymmetric unit holds Pr at (0.000, 0.000, 0.000), Tm at (0.000, 0.000, 0.500), Cu at (0.000, 0.500, 0.167) and S at (0.241, 0.214, 0.304).

As for the density: 5.6 g/cm3. Its uncorrected formation energy is -932 kJ/mol of formula units.

No. 2
First-principles (GGA-PBE) data for TbBeZn after structural relaxation, as listed in Alexandria via LeMat-Bulk.

It has space group P-6m2 (No. 187), with a = 4.2447 Å, b = 4.2447 Å, c = 3.5834 Å, α = 90.00°, β = 90.00° and γ = 120.00°. The asymmetric unit holds Tb at (0.0000, 0.0000, 0.0000), Be at (0.3333, 0.6667, 0.5000) and Zn at (0.6667, 0.3333, 0.5000).

As for the density: 6.9 g/cm3. The relative energy among the computed polymorphs is 32 meV/atom.

No. 3
First-principles (GGA-PBE) data for BeV3P after structural relaxation, as listed in Alexandria via LeMat-Bulk.

It has space group Pm-3m (No. 221), with a = 4.035 Å, b = 4.035 Å, c = 4.035 Å, α = 90.00°, β = 90.00° and γ = 90.00°. The asymmetric unit holds Be at (0.000, 0.000, 0.000), V at (0.000, 0.000, 0.500) and P at (0.500, 0.500, 0.500).

As for the density: 4.9 g/cm3. The relative energy among the computed polymorphs is 376 meV/atom.

No. 4
First-principles (GGA-PBE) data for CaAgOs2O8 after structural relaxation, as listed in Alexandria via LeMat-Bulk.

It has space group P-3m1 (No. 164), with a = 6.0734 Å, b = 6.0734 Å, c = 6.6955 Å, α = 90.00°, β = 90.00° and γ = 120.00°. The asymmetric unit holds Ca at (0.0000, 0.0000, 0.0000), Ag at (0.0000, 0.0000, 0.5000), Os at (0.3333, 0.6667, 0.3041), O at (0.1700, 0.3401, 0.2256) and O at (0.3333, 0.6667, 0.5671).

As for the density: 5.1 g/cm3. Its uncorrected formation energy is -1311 kJ/mol of formula units.

No. 5
First-principles (GGA-PBE) data for Ca3Si3Os after structural relaxation, as listed in Alexandria via LeMat-Bulk.

It has space group C2/m (No. 12), with a = 10.852 Å, b = 4.340 Å, c = 13.859 Å, α = 90.00°, β = 112.04° and γ = 90.00°. The asymmetric unit holds Ca at (0.015, 0.000, 0.377), Ca at (0.101, 0.000, 0.921), Ca at (0.247, 0.000, 0.229), Si at (0.063, 0.500, 0.242), Si at (0.103, 0.500, 0.078), Si at (0.148, 0.500, 0.544) and Os at (0.243, 0.500, 0.413).

As for the density: 4.3 g/cm3. Its uncorrected formation energy is -341 kJ/mol of formula units.

No. 6
First-principles (GGA-PBE) data for TbPm2Si3Ir4 after structural relaxation, as listed in Alexandria via LeMat-Bulk.

It has space group P-4m2 (No. 115), with a = 4.149 Å, b = 4.149 Å, c = 10.971 Å, α = 90.00°, β = 90.00° and γ = 90.00°. The asymmetric unit holds Tb at (0.000, 0.000, 0.000), Pm at (0.000, 0.500, 0.731), Si at (0.000, 0.500, 0.382), Si at (0.500, 0.500, 0.000), Ir at (0.000, 0.000, 0.500), Ir at (0.000, 0.500, 0.164) and Ir at (0.500, 0.500, 0.500).

As for the density: 11.4 g/cm3. Its uncorrected formation energy is -905 kJ/mol of formula units.